## Ac14LaHo (PBE)

Data for Ac14LaHo after structural relaxation.

a = 11.249 Å, b = 11.163 Å, c = 11.166 Å
α = 90.00°, β = 90.00°, γ = 90.00°
Space group Amm2 (No. 38)
One atom of each set of equivalent atoms:
Ac: 0.000 0.000 0.000 [2 per cell]
Ac: 0.000 0.000 0.500 [2 per cell]
Ac: 0.000 0.249 0.250 [4 per cell]
Ac: 0.254 0.000 0.751 [4 per cell]
Ac: 0.256 0.249 0.000 [8 per cell]
Ac: 0.257 0.000 0.249 [4 per cell]
Ac: 0.500 0.249 0.750 [4 per cell]
La: 0.500 0.000 0.500 [2 per cell]
Ho: 0.500 0.000 0.000 [2 per cell]

Computed properties:
The energy relative to the elements is 25 meV per atom. For the electronic total energy, the calculation gives -4.164 eV/atom. As for the total moment: 0.00 μB/f.u. For the volume, the calculation gives 1402.21 Å³ per cell.

---

## LaAlAg3 (PBE)

Data for LaAlAg3 after structural relaxation.

a = 4.936 Å, b = 4.936 Å, c = 4.936 Å
α = 90.00°, β = 90.00°, γ = 90.00°
Space group Pm-3m (No. 221)
One atom of each set of equivalent atoms:
La: 0.000 0.000 0.000 [1 per cell]
Al: 0.500 0.500 0.500 [1 per cell]
Ag: 0.000 0.500 0.500 [3 per cell]

Computed properties:
The energy relative to the elements is -36 meV per atom. For the electronic total energy, the calculation gives -3.481 eV/atom. As for the total moment: 0.00 μB/f.u. The energy relative to the lowest polymorph listed for this composition comes out at 0.99 eV/f.u. For the volume, the calculation gives 120.28 Å³ per cell.